DFT (PBE with a Hubbard U) results for VOF after structural relaxation.

```
VOF
1.0
3.175 0.000 0.000
0.000 3.878 0.000
0.000 0.000 5.976
F V O
2 2 2
Cartesian
0.000 0.000 2.203
1.587 1.939 3.772
0.000 1.939 5.025
1.587 0.000 0.951
0.000 0.000 5.564
1.587 1.939 0.411
```

Computed properties:
For the density of states at the Fermi level, the calculation gives 0.00 states/eV/f.u. As for the electronic total energy: -7.175 eV/atom. The mass density is 3.9 g/cm³. The volume is 12.26 A^3/atom.